(1)
Zn2ReP | PBE-GGA | relaxed

Summary:
DOS at the Fermi energy = 1.64 states/eV per cell
DFT formation energy = 0.263 eV/atom

Lattice parameters (Å, degrees): 2.8458 2.8458 8.6062 90.00 90.00 115.92
Last column: nearest neighbours and their distance in Å.
Atoms (fractional coordinates):
Zn  0.5000  0.5000  0.7534  6 Zn 2.67-2.85, 2 P 2.86
Zn  0.0000  0.0000  0.0092  6 Zn 2.67-2.85, 2 Re 2.68
P  0.0000  0.0000  0.4707  2 Re 2.31
Re  0.5000  0.5000  0.2668  2 P 2.31

(2)
Hf4IrOs3 | PBE-GGA | relaxed

Summary:
DOS at the Fermi energy = 4.29 states/eV per cell
DFT formation energy = -0.738 eV/atom

Lattice parameters (Å, degrees): 3.2748 4.5978 9.1889 90.00 90.00 90.00
Last column: nearest neighbours and their distance in Å.
Atoms (fractional coordinates):
Hf  0.0000  0.0000  0.0000  4 Os 2.81, 4 Ir 2.82
Hf  0.0000  0.5000  0.2515  6 Os 2.81-2.82, 2 Ir 2.83
Hf  0.0000  0.5000  0.7485  6 Os 2.81-2.82, 2 Ir 2.83
Hf  0.0000  0.0000  0.5000  8 Os 2.82-2.83
Os  0.5000  0.0000  0.2491  8 Hf 2.81-2.83
Os  0.5000  0.5000  0.5000  8 Hf 2.81-2.82
Os  0.5000  0.0000  0.7509  8 Hf 2.81-2.83
Ir  0.5000  0.5000  0.0000  8 Hf 2.82-2.83

(3)
RbNaMg | PBE-GGA | relaxed

Summary:
DOS at the Fermi energy = 1.99 states/eV per cell
DFT formation energy = 0.200 eV/atom

Lattice parameters (Å, degrees): 3.9139 6.2288 6.2288 120.00 90.00 90.00
Last column: nearest neighbours and their distance in Å.
Atoms (fractional coordinates):
Mg  0.1317  0.0000  0.0000  3 Na 3.61, 2 Mg 3.91, 3 Rb 4.04
Rb  0.6623  0.3333  0.6667  2 Rb 3.91, 6 Na 4.02-4.18, 6 Mg 4.04-4.15
Na  0.2060  0.6667  0.3333  3 Mg 3.61, 2 Na 3.91, 3 Rb 4.02